Crystalline RbYAg3 at its relaxed geometry, computed with PBE.

a b c (Å): 5.7403 5.7403 5.7403
angles (deg): 90.00 90.00 90.00
Space group Pm-3m (No. 221)
Unique sites:
Rb 0.0000 0.0000 0.0000 [1 per cell]
Y 0.5000 0.5000 0.5000 [1 per cell]
Ag 0.0000 0.5000 0.5000 [3 per cell]

For the calculated volume, the calculation gives 37.8 A^3/atom. The magnetization comes out at 0.00 μB/cell. For the total DFT energy (no corrections), the calculation gives -2.791 eV per atom. The formation energy comes out at 0.41 eV per atom.